Entry 1:
Density functional theory data (PBE) for a geometry-optimized CrHgCl structure.

Computed properties:
* excess energy over the best structure of this formula in the dataset: 0.000 eV/f.u.
* symmetry: No. 156

Lattice parameters (Å, degrees): 3.6271 3.6271 6.2518 90.00 90.00 120.00
Last column: magnetic moment on the atom in μB.
Positions (direct):
Cr  0.3333  0.6667  0.3057  3.97
Hg  0.6667  0.3333  0.6188  0.07
Cl  0.0000  0.0000  0.0755  0.02


Entry 2:
Density functional theory data (PBE) for a geometry-optimized CrHgCl2 structure.

Computed properties:
* excess energy over the best structure of this formula in the dataset: 1.266 eV/f.u.
* symmetry: No. 123

Lattice parameters (Å, degrees): 3.2117 3.2109 9.7023 90.00 90.00 90.00
Last column: magnetic moment on the atom in μB.
Positions (direct):
Hg  0.5000  0.5000  0.7500  -0.01
Cr  0.5000  0.5000  0.2500  3.76
Cl  0.0000  0.0000  0.4051  -0.02
Cl  0.0000  0.0000  0.0949  -0.02


Entry 3:
Density functional theory data (PBE) for a geometry-optimized Cr2HgCl structure.

Computed properties:
* excess energy over the best structure of this formula in the dataset: 1.683 eV/f.u.
* symmetry: No. 47

Lattice parameters (Å, degrees): 3.4676 6.0114 4.2260 90.00 90.00 90.00
Last column: magnetic moment on the atom in μB.
Positions (direct):
Cl  0.0000  0.5000  0.5000  0.03
Cr  0.5000  0.5000  0.0000  4.10
Cr  0.0000  0.0000  0.0000  3.89
Hg  0.5000  0.0000  0.5000  0.06


Entry 4:
Density functional theory data (PBE) for a geometry-optimized Cr2HgCl structure.

Computed properties:
* excess energy over the best structure of this formula in the dataset: 0.624 eV/f.u.
* symmetry: No. 44

Lattice parameters (Å, degrees): 6.2959 6.2959 6.2959 151.41 136.08 53.25
Last column: magnetic moment on the atom in μB.
Positions (direct):
Cr  0.9929  0.9929  0.0000  -3.36
Cr  0.1746  0.6746  0.5000  3.65
Hg  0.5286  0.5286  0.0000  0.02
Cl  0.8039  0.3039  0.5000  0.00


Entry 5:
Density functional theory data (PBE) for a geometry-optimized CrHgCl2 structure.

Computed properties:
* excess energy over the best structure of this formula in the dataset: 0.167 eV/f.u.
* symmetry: No. 166

Lattice parameters (Å, degrees): 10.8256 10.8256 10.8256 19.26 19.26 19.26
Last column: magnetic moment on the atom in μB.
Positions (direct):
Cl  0.1232  0.1232  0.1232  -0.01
Cl  0.8768  0.8768  0.8768  -0.01
Hg  0.0000  0.0000  0.0000  0.00
Cr  0.5000  0.5000  0.5000  3.64


Entry 6:
Density functional theory data (PBE) for a geometry-optimized CrHgCl structure.

Computed properties:
* excess energy over the best structure of this formula in the dataset: 0.185 eV/f.u.
* symmetry: No. 107

Lattice parameters (Å, degrees): 6.6861 6.6861 6.6861 151.35 151.35 40.97
Last column: magnetic moment on the atom in μB.
Positions (direct):
Cl  0.9557  0.9557  0.0000  0.04
Hg  0.6965  0.6965  0.0000  0.03
Cr  0.3478  0.3478  0.0000  3.99


Entry 7:
Density functional theory data (PBE) for a geometry-optimized Cr4HgCl structure.

Computed properties:
* symmetry: No. 216

Lattice parameters (Å, degrees): 5.0066 5.0066 5.0066 60.00 60.00 60.00
Positions (direct):
Cr  0.6336  0.6336  0.0993
Cr  0.6336  0.6336  0.6336
Cr  0.0993  0.6336  0.6336
Cr  0.6336  0.0993  0.6336
Cl  0.0000  0.0000  0.0000
Hg  0.2500  0.2500  0.2500


Entry 8:
Density functional theory data (PBE) for a geometry-optimized CrHgCl2 structure.

Computed properties:
* excess energy over the best structure of this formula in the dataset: 2.443 eV/f.u.
* symmetry: No. 12

Lattice parameters (Å, degrees): 6.1636 5.2343 4.2297 70.89 82.51 122.42
Last column: magnetic moment on the atom in μB.
Positions (direct):
Hg  0.5000  0.5000  0.0000  -0.02
Cl  0.0000  0.0000  0.0000  -0.02
Cl  0.5000  0.0000  0.5000  -0.02
Cr  0.0000  0.5000  0.5000  4.16


How do the records compare in volume? In the order shown, they have 23.7; 25.0; 22.0; 20.6; 30.2; 22.9; 14.8; 25.1 A^3/atom.
How do the records compare in M_tot? In the order shown, they have 1.5555; 1.0230; 2.3152; 0.1085; 1.0000; 1.5371; 0.0000; 1.1624 μB per atom.
How do the records compare in E_form (uncorrected)? In the order shown, they have -0.3; -1.5; 2.0; 1.0; -2.6; -0.1; 5.5; -0.3 eV per formula unit.